DFT (GGA+U) results for an optimized crystal structure of YW3O.

Cell lengths 5.6771, 5.6771, 5.6771 Å; angles 90.00, 90.00, 90.00 degrees
Fractional coordinates of all 5 atoms:
Y (0.0000, 0.0000, 0.0000)
O (0.5000, 0.5000, 0.5000)
W (0.0000, 0.5000, 0.0000)
W (0.0000, 0.0000, 0.5000)
W (0.5000, 0.0000, 0.0000)

Properties
SG ... Pm-3m (221)
Size of the total moment ... 9.33 μB per formula unit
ΔE to the lowest computed polymorph ... 2.571 eV/atom